No. 1
First-principles (PBE) data for a relaxed BaTlCdBi crystal, as listed in the Alexandria database.

POSCAR file:
```
BaTlCdBi
1.0
0.000 4.062 4.062
4.062 0.000 4.062
4.062 4.062 0.000
Ba Tl Cd Bi
1 1 1 1
Cartesian
0.000 0.000 0.000 Ba
6.093 6.093 6.093 Tl
2.031 2.031 2.031 Cd
4.062 4.062 4.062 Bi
```

Computed properties:
- M_tot (Bohr magnetons per cell) = 0.00
- ΔH_f (0 K) (kJ/mol of formula units) = -136
- space-group type = No. 216
- ρ (Mg/m³) = 8.22
- DOS(E_F) (states/eV/cell) = 0.67
- crystal system = cubic

No. 2
First-principles (PBE) data for a relaxed Ba2TlCd3Bi4 crystal, as listed in the Alexandria database.

POSCAR file:
```
Ba2TlCd3Bi4
1.0
5.037 0.000 0.000
0.000 5.037 0.000
0.000 0.000 13.903
Ba Tl Cd Bi
2 1 3 4
Cartesian
0.000 2.519 3.335 Ba
2.519 0.000 10.568 Ba
0.000 0.000 6.952 Tl
0.000 2.519 12.060 Cd
2.519 0.000 1.843 Cd
2.519 2.519 6.952 Cd
0.000 0.000 0.000 Bi
0.000 2.519 9.150 Bi
2.519 0.000 4.754 Bi
2.519 2.519 0.000 Bi
```

Computed properties:
- M_tot (Bohr magnetons per cell) = 0.00
- ΔH_f (0 K) (kJ/mol of formula units) = -345
- space-group type = No. 115
- ρ (Mg/m³) = 7.78
- DOS(E_F) (states/eV/cell) = 4.38
- crystal system = tetragonal

No. 3
First-principles (PBE) data for a relaxed Ba2Tl6CdBi crystal, as listed in the Alexandria database.

POSCAR file:
```
Ba2Tl6CdBi
1.0
3.869 2.234 14.275
-3.869 2.234 14.275
0.000 -4.467 14.275
Ba Tl Cd Bi
4 12 2 2
Cartesian
0.000 0.000 4.822 Ba
0.000 0.000 11.975 Ba
0.000 0.000 30.850 Ba
0.000 0.000 38.003 Ba
-2.284 -1.318 20.050 Tl
0.000 -1.879 15.581 Tl
-1.627 0.939 15.581 Tl
0.000 -2.637 22.775 Tl
-2.284 1.318 22.775 Tl
-1.627 -0.939 27.244 Tl
1.627 0.939 15.581 Tl
2.284 -1.318 20.050 Tl
0.000 2.637 20.050 Tl
1.627 -0.939 27.244 Tl
0.000 1.879 27.244 Tl
2.284 1.318 22.775 Tl
0.000 0.000 0.000 Cd
0.000 0.000 21.413 Cd
0.000 0.000 18.197 Bi
0.000 0.000 24.628 Bi
```

Computed properties:
- M_tot (Bohr magnetons per cell) = 0.00
- ΔH_f (0 K) (kJ/mol of formula units) = -110
- space-group type = No. 166
- ρ (Mg/m³) = 8.18
- DOS(E_F) (states/eV/cell) = 9.43
- crystal system = trigonal

No. 4
First-principles (PBE) data for a relaxed Ba2ZnCdBi crystal, as listed in the Alexandria database.

POSCAR file:
```
Ba2ZnCdBi
1.0
6.556 0.000 0.000
0.000 6.556 0.000
0.000 0.000 5.620
Ba Zn Cd Bi
2 1 1 1
Cartesian
0.000 3.278 0.000 Ba
3.278 0.000 0.000 Ba
0.000 0.000 2.810 Zn
3.278 3.278 0.000 Cd
3.278 3.278 2.810 Bi
```

Computed properties:
- M_tot (Bohr magnetons per cell) = 0.00
- ΔH_f (0 K) (kJ/mol of formula units) = 16
- space-group type = No. 123
- ρ (Mg/m³) = 4.55
- DOS(E_F) (states/eV/cell) = 6.84
- crystal system = tetragonal

No. 5
First-principles (PBE) data for a relaxed BaCe4Bi5 crystal, as listed in the Alexandria database.

POSCAR file:
```
BaCe4Bi5
1.0
-2.334 3.321 11.794
2.334 -3.321 11.794
2.334 3.321 -11.794
Ba Ce Bi
1 4 5
Cartesian
0.000 0.000 0.000 Ba
0.000 0.000 4.806 Ce
0.000 0.000 9.436 Ce
0.000 0.000 14.152 Ce
0.000 0.000 18.782 Ce
2.334 0.000 2.627 Bi
2.334 0.000 7.119 Bi
0.000 3.321 0.000 Bi
0.000 3.321 4.675 Bi
0.000 3.321 9.167 Bi
```

Computed properties:
- M_tot (Bohr magnetons per cell) = 2.97
- ΔH_f (0 K) (kJ/mol of formula units) = -753
- space-group type = No. 71
- ρ (Mg/m³) = 7.91
- DOS(E_F) (states/eV/cell) = 22.41
- crystal system = orthorhombic

No. 6
First-principles (PBE) data for a relaxed BaCe3Bi4 crystal, as listed in the Alexandria database.

POSCAR file:
```
BaCe3Bi4
1.0
4.740 -6.662 0.000
4.740 6.662 0.000
0.000 0.000 4.695
Ba Ce Bi
1 3 4
Cartesian
0.000 0.000 0.000 Ba
2.370 3.331 2.347 Ce
2.370 -3.331 2.347 Ce
4.740 0.000 0.000 Ce
4.740 3.205 0.000 Bi
2.571 0.000 2.347 Bi
6.910 0.000 2.347 Bi
4.740 -3.205 0.000 Bi
```

Computed properties:
- M_tot (Bohr magnetons per cell) = 2.00
- ΔH_f (0 K) (kJ/mol of formula units) = -608
- space-group type = No. 65
- ρ (Mg/m³) = 7.80
- DOS(E_F) (states/eV/cell) = 15.59
- crystal system = orthorhombic

No. 7
First-principles (PBE) data for a relaxed BaCeBi crystal, as listed in the Alexandria database.

POSCAR file:
```
BaCeBi
1.0
5.495 0.000 0.000
-2.748 4.759 0.000
0.000 0.000 4.807
Ba Ce Bi
1 1 1
Cartesian
0.000 0.000 0.000 Ba
0.000 3.173 2.370 Ce
2.748 1.586 2.514 Bi
```

Computed properties:
- M_tot (Bohr magnetons per cell) = 1.87
- ΔH_f (0 K) (kJ/mol of formula units) = -85
- space-group type = No. 156
- ρ (Mg/m³) = 6.43
- DOS(E_F) (states/eV/cell) = 9.59
- crystal system = trigonal

No. 8
First-principles (PBE) data for a relaxed Ba2CeBi2 crystal, as listed in the Alexandria database.

POSCAR file:
```
Ba2CeBi2
1.0
-4.555 7.041 3.509
4.555 -7.041 3.509
4.555 7.041 -3.509
Ba Ce Bi
4 2 4
Cartesian
1.328 2.043 0.000 Ba
1.328 -2.043 3.509 Ba
3.227 9.084 0.000 Ba
3.227 4.998 3.509 Ba
4.555 0.000 1.754 Ce
0.000 7.041 1.754 Ce
6.836 1.574 0.000 Bi
2.281 5.467 0.000 Bi
2.275 1.574 3.509 Bi
-2.281 5.467 3.509 Bi
```

Computed properties:
- M_tot (Bohr magnetons per cell) = 4.02
- ΔH_f (0 K) (kJ/mol of formula units) = -352
- space-group type = No. 72
- ρ (Mg/m³) = 6.14
- DOS(E_F) (states/eV/cell) = 13.94
- crystal system = orthorhombic

No. 9
First-principles (PBE) data for a relaxed Ba5CeBi5 crystal, as listed in the Alexandria database.

POSCAR file:
```
Ba5CeBi5
1.0
8.137 -3.488 0.000
8.137 3.488 0.000
-3.103 0.000 9.301
Ba Ce Bi
5 1 5
Cartesian
0.000 0.000 0.000 Ba
4.527 0.000 1.657 Ba
3.285 0.000 6.067 Ba
9.886 0.000 3.234 Ba
8.644 0.000 7.645 Ba
-1.552 0.000 4.651 Ce
1.296 0.000 3.187 Bi
-0.030 0.000 7.570 Bi
6.585 0.000 4.651 Bi
13.200 0.000 1.732 Bi
11.875 0.000 6.115 Bi
```

Computed properties:
- M_tot (Bohr magnetons per cell) = 0.00
- ΔH_f (0 K) (kJ/mol of formula units) = -807
- space-group type = No. 12
- ρ (Mg/m³) = 5.89
- DOS(E_F) (states/eV/cell) = 11.94
- crystal system = monoclinic

No. 10
First-principles (PBE) data for a relaxed BaCeBi crystal, as listed in the Alexandria database.

POSCAR file:
```
BaCeBi
1.0
4.880 0.000 0.000
0.000 4.880 0.000
0.000 0.000 9.696
Ba Ce Bi
2 2 2
Cartesian
1.220 1.220 1.450 Ba
3.660 3.660 8.247 Ba
1.220 3.660 4.848 Ce
3.660 1.220 4.848 Ce
1.220 1.220 7.265 Bi
3.660 3.660 2.432 Bi
```

Computed properties:
- M_tot (Bohr magnetons per cell) = 2.49
- ΔH_f (0 K) (kJ/mol of formula units) = -174
- space-group type = No. 129
- ρ (Mg/m³) = 7.00
- DOS(E_F) (states/eV/cell) = 16.98
- crystal system = tetragonal

No. 11
First-principles (PBE) data for a relaxed Ba2CeBi3 crystal, as listed in the Alexandria database.

POSCAR file:
```
Ba2CeBi3
1.0
-2.365 3.447 7.632
2.365 -3.447 7.632
2.365 3.447 -7.632
Ba Ce Bi
2 1 3
Cartesian
0.000 0.000 2.693 Ba
0.000 0.000 12.571 Ba
0.000 0.000 7.632 Ce
2.365 0.000 0.000 Bi
2.365 0.000 5.480 Bi
0.000 3.447 2.152 Bi
```

Computed properties:
- M_tot (Bohr magnetons per cell) = 0.00
- ΔH_f (0 K) (kJ/mol of formula units) = -428
- space-group type = No. 71
- ρ (Mg/m³) = 6.95
- DOS(E_F) (states/eV/cell) = 7.60
- crystal system = orthorhombic

No. 12
First-principles (PBE) data for a relaxed BaCeHgBi crystal, as listed in the Alexandria database.

POSCAR file:
```
BaCeHgBi
1.0
0.000 4.089 4.089
4.089 0.000 4.089
4.089 4.089 0.000
Ba Ce Hg Bi
1 1 1 1
Cartesian
0.000 0.000 0.000 Ba
4.089 4.089 4.089 Ce
2.044 2.044 2.044 Hg
6.133 6.133 6.133 Bi
```

Computed properties:
- M_tot (Bohr magnetons per cell) = 1.91
- ΔH_f (0 K) (kJ/mol of formula units) = -179
- space-group type = No. 216
- ρ (Mg/m³) = 8.34
- DOS(E_F) (states/eV/cell) = 11.50
- crystal system = cubic

No. 13
First-principles (PBE) data for a relaxed Ba2CeIn2Bi4 crystal, as listed in the Alexandria database.

POSCAR file:
```
Ba2CeIn2Bi4
1.0
8.664 -2.440 0.000
8.664 2.440 0.000
-2.876 0.000 7.754
Ba Ce In Bi
2 1 2 4
Cartesian
1.953 0.000 0.819 Ba
12.500 0.000 6.935 Ba
-1.438 0.000 3.877 Ce
4.365 0.000 4.073 In
10.088 0.000 3.681 In
1.419 0.000 5.553 Bi
7.665 0.000 1.739 Bi
6.788 0.000 6.015 Bi
13.034 0.000 2.201 Bi
```

Computed properties:
- M_tot (Bohr magnetons per cell) = 0.76
- ΔH_f (0 K) (kJ/mol of formula units) = -500
- space-group type = No. 12
- ρ (Mg/m³) = 7.50
- DOS(E_F) (states/eV/cell) = 8.27
- crystal system = monoclinic

No. 14
First-principles (PBE) data for a relaxed KBaCeBiO6 crystal, as listed in the Alexandria database.

POSCAR file:
```
KBaCeBiO6
1.0
0.000 4.364 4.364
4.364 0.000 4.364
4.364 4.364 0.000
K Ba Ce Bi O
1 1 1 1 6
Cartesian
0.000 0.000 0.000 K
4.364 4.364 4.364 Ba
2.182 2.182 2.182 Ce
6.546 6.546 6.546 Bi
6.546 6.546 4.405 O
6.546 4.405 6.546 O
8.687 6.546 6.546 O
4.405 6.546 6.546 O
6.546 8.687 6.546 O
6.546 6.546 8.687 O
```

Computed properties:
- M_tot (Bohr magnetons per cell) = 0.00
- space-group type = No. 216
- ρ (Mg/m³) = 6.21
- DOS(E_F) (states/eV/cell) = 0.00
- crystal system = cubic
- formation energy without anion corrections (meV/atom) = -2201

No. 15
First-principles (PBE) data for a relaxed Ba2CeMg2Bi4 crystal, as listed in the Alexandria database.

POSCAR file:
```
Ba2CeMg2Bi4
1.0
8.581 -2.416 0.000
8.581 2.416 0.000
-2.705 0.000 7.722
Ba Ce Mg Bi
2 1 2 4
Cartesian
2.067 0.000 0.631 Ba
12.389 0.000 7.091 Ba
-1.353 0.000 3.861 Ce
4.235 0.000 3.950 Mg
10.222 0.000 3.773 Mg
1.578 0.000 5.459 Bi
6.462 0.000 5.892 Bi
7.995 0.000 1.831 Bi
12.879 0.000 2.264 Bi
```

Computed properties:
- M_tot (Bohr magnetons per cell) = 0.42
- ΔH_f (0 K) (kJ/mol of formula units) = -626
- space-group type = No. 12
- ρ (Mg/m³) = 6.74
- DOS(E_F) (states/eV/cell) = 4.48
- crystal system = monoclinic

No. 16
First-principles (PBE) data for a relaxed BaNaCeBiO6 crystal, as listed in the Alexandria database.

POSCAR file:
```
BaNaCeBiO6
1.0
0.000 4.344 4.344
4.344 0.000 4.344
4.344 4.344 0.000
Ba Na Ce Bi O
1 1 1 1 6
Cartesian
0.000 0.000 0.000 Ba
4.344 4.344 4.344 Na
2.172 2.172 2.172 Ce
6.517 6.517 6.517 Bi
6.517 6.517 4.386 O
6.517 4.386 6.517 O
8.647 6.517 6.517 O
4.386 6.517 6.517 O
6.517 8.647 6.517 O
6.517 6.517 8.647 O
```

Computed properties:
- M_tot (Bohr magnetons per cell) = 0.00
- space-group type = No. 216
- ρ (Mg/m³) = 6.13
- DOS(E_F) (states/eV/cell) = 0.00
- crystal system = cubic
- formation energy without anion corrections (meV/atom) = -2145

No. 17
First-principles (PBE) data for a relaxed Ba3Ce2BiO9 crystal, as listed in the Alexandria database.

POSCAR file:
```
Ba3Ce2BiO9
1.0
6.304 0.000 0.000
-3.152 5.459 0.000
0.000 0.000 7.735
Ba Ce Bi O
3 2 1 9
Cartesian
0.000 0.000 0.000 Ba
0.000 3.639 5.110 Ba
3.152 1.820 2.625 Ba
0.000 3.639 1.287 Ce
3.152 1.820 6.448 Ce
0.000 0.000 3.867 Bi
-1.576 2.730 0.000 O
0.000 1.830 2.587 O
-1.567 4.544 2.587 O
1.585 0.915 5.148 O
3.152 0.000 0.000 O
1.576 2.730 0.000 O
1.567 4.544 2.587 O
4.719 0.915 5.148 O
3.152 3.629 5.148 O
```

Computed properties:
- M_tot (Bohr magnetons per cell) = 0.00
- space-group type = No. 164
- ρ (Mg/m³) = 6.52
- DOS(E_F) (states/eV/cell) = 6.28
- crystal system = trigonal
- formation energy without anion corrections (meV/atom) = -2671

No. 18
First-principles (PBE) data for a relaxed Ba4Ce2BiO12 crystal, as listed in the Alexandria database.

POSCAR file:
```
Ba4Ce2BiO12
1.0
6.253 0.000 0.000
-0.027 6.272 0.000
-0.346 -0.237 8.861
Ba Ce Bi O
4 2 1 12
Cartesian
-0.039 2.772 1.986 Ba
2.852 6.024 2.043 Ba
3.028 0.011 6.819 Ba
5.919 3.263 6.875 Ba
-0.173 -0.119 4.431 Ce
2.940 3.018 4.431 Ce
3.113 3.136 0.000 Bi
0.291 6.010 6.384 O
1.278 4.429 3.952 O
1.425 4.339 0.293 O
1.562 1.350 3.956 O
1.881 1.449 0.229 O
2.403 2.897 6.670 O
3.477 3.138 2.191 O
3.999 4.586 8.633 O
4.318 4.685 4.905 O
4.456 1.696 8.569 O
4.602 1.606 4.910 O
5.590 0.025 2.478 O
```

Computed properties:
- M_tot (Bohr magnetons per cell) = 3.11
- space-group type = No. 2
- ρ (Mg/m³) = 5.88
- DOS(E_F) (states/eV/cell) = 15.01
- crystal system = triclinic
- formation energy without anion corrections (meV/atom) = -2271

No. 19
First-principles (PBE) data for a relaxed BaCeBiO2 crystal, as listed in the Alexandria database.

POSCAR file:
```
BaCeBiO2
1.0
3.021 -7.372 0.000
3.021 7.372 0.000
0.000 0.000 5.797
Ba Ce Bi O
2 2 2 4
Cartesian
3.021 5.915 4.348 Ba
3.021 -5.915 1.449 Ba
3.021 1.018 4.348 Ce
3.021 -1.018 1.449 Ce
3.021 3.667 1.449 Bi
3.021 -3.667 4.348 Bi
1.701 0.000 0.000 O
1.701 0.000 2.899 O
4.341 0.000 0.000 O
4.341 0.000 2.899 O
```

Computed properties:
- M_tot (Bohr magnetons per cell) = 0.51
- space-group type = No. 63
- ρ (Mg/m³) = 6.67
- DOS(E_F) (states/eV/cell) = 5.36
- crystal system = orthorhombic
- formation energy without anion corrections (meV/atom) = -2359

No. 20
First-principles (PBE) data for a relaxed BaSrCeBiO6 crystal, as listed in the Alexandria database.

POSCAR file:
```
BaSrCeBiO6
1.0
0.000 4.429 4.429
4.429 0.000 4.429
4.429 4.429 0.000
Ba Sr Ce Bi O
1 1 1 1 6
Cartesian
0.000 0.000 0.000 Ba
4.429 4.429 4.429 Sr
6.644 6.644 6.644 Ce
2.215 2.215 2.215 Bi
6.644 6.644 4.434 O
6.644 4.434 6.644 O
8.853 6.644 6.644 O
4.434 6.644 6.644 O
6.644 8.853 6.644 O
6.644 6.644 8.853 O
```

Computed properties:
- M_tot (Bohr magnetons per cell) = 0.00
- space-group type = No. 216
- ρ (Mg/m³) = 6.40
- DOS(E_F) (states/eV/cell) = 4.08
- crystal system = cubic
- formation energy without anion corrections (meV/atom) = -2398